5
Lattice="4.064 0.000 0.000 0.000 4.064 0.000 0.000 0.000 4.064" Properties=species:S:1:pos:R:3 comment="Zn3BC PBE optimized geometry" energy_ev_per_cell=-13.89 formation_enthalpy_0k_ev_per_atom=1.17 pbc="T T T"
Zn 0.000 0.000 2.032
Zn 0.000 2.032 0.000
Zn 2.032 0.000 0.000
B 2.032 2.032 2.032
C 0.000 0.000 0.000